(1)
# K2HfTlHg

K2HfTlHg after structural relaxation (PBE-GGA, the Alexandria database).

The calculation puts the energy relative to the elements at 1.09 eV per atom.

It has space group P4/mmm (No. 123), with a = 6.4933 Å, b = 6.4933 Å, c = 5.6003 Å, α = 90.00°, β = 90.00° and γ = 90.00°. Symmetry generates all atoms from K at (0.0000, 0.5000, 0.0000), Hf at (0.0000, 0.0000, 0.5000), Tl at (0.5000, 0.5000, 0.0000) and Hg at (0.5000, 0.5000, 0.5000).

---

(2)
# SnHg2F

SnHg2F after structural relaxation (PBE-GGA, the Alexandria database).

The energy relative to the elements, uncorrected comes out at -544 meV/atom.

It has space group R-3m (No. 166, hexagonal axes), with a = 3.3307 Å, b = 3.3307 Å, c = 28.8199 Å, α = 90.00°, β = 90.00° and γ = 120.00°. Symmetry generates all atoms from Sn at (0.0000, 0.0000, 0.0000), Hg at (0.0000, 0.0000, 0.1021) and F at (0.0000, 0.0000, 0.5000).

---

(3)
# NdLuAlRh

NdLuAlRh after structural relaxation (PBE-GGA, the Alexandria database).

The calculation puts the energy relative to the elements at -0.50 eV per atom.

It has space group F-43m (No. 216), with a = 7.1080 Å, b = 7.1080 Å, c = 7.1080 Å, α = 90.00°, β = 90.00° and γ = 90.00°. Symmetry generates all atoms from Nd at (0.0000, 0.0000, 0.0000), Lu at (0.0000, 0.0000, 0.5000), Al at (0.2500, 0.2500, 0.2500) and Rh at (0.2500, 0.2500, 0.7500).

---

(4)
# Ho2PtPb

Ho2PtPb after structural relaxation (PBE-GGA, the Alexandria database).

The calculation puts the energy relative to the elements at -0.74 eV per atom.

It has space group C2/m (No. 12), with a = 7.2859 Å, b = 4.1948 Å, c = 7.2533 Å, α = 90.00°, β = 90.05° and γ = 90.00°. Symmetry generates all atoms from Ho at (0.1670, 0.0000, 0.2015), Pt at (0.0000, 0.5000, 0.0000) and Pb at (0.0000, 0.5000, 0.5000).